Here is a geometry-optimized MnCuPH structure from Alexandria via LeMat-Bulk. Energies are from PBE.

Cell lengths 2.666, 2.906, 5.488 Å; angles 90.00, 90.00, 90.00 degrees
Last column: magnetic moment on the atom in μB.
Fractional coordinates of all 4 atoms:
Mn  0.000  0.500  0.473  0.87
Cu  0.500  0.000  0.107  0.00
P  0.500  0.000  0.695  -0.06
H  0.500  0.500  0.271  -0.01

The value obtained for the magnetic moment is 0.80 μB per formula unit. The value obtained for the excess energy over the best structure of this formula in the dataset is 0.105 eV/f.u. For the calculated volume, the calculation gives 10.629 Å³ per atom.